No. 1
# PBE MgMoIr2, relaxed
data_MgMoIr2
_chemical_formula_sum 'Mg1 Mo1 Ir2'
_space_group_name_H-M_alt 'P 1'
_space_group_IT_number 1
_cell_length_a 2.872
_cell_length_b 2.872
_cell_length_c 7.391
_cell_angle_alpha 90.00
_cell_angle_beta 90.00
_cell_angle_gamma 90.00
loop_
_space_group_symop_operation_xyz
'x,y,z'
loop_
_atom_site_label
_atom_site_fract_x
_atom_site_fract_y
_atom_site_fract_z
Ir1 0.000 0.000 0.507
Ir2 0.000 0.000 0.993
Mg1 0.500 0.500 0.250
Mo1 0.500 0.500 0.750
# DFT formation energy ... -0.36 eV/atom
# SG ... P4/mmm (123)
# Final energy ... -7.90 eV per atom



No. 2
# PBE Co3SnS, relaxed
data_Co3SnS
_chemical_formula_sum 'Co3 Sn1 S1'
_space_group_name_H-M_alt 'P 1'
_space_group_IT_number 1
_cell_length_a 4.189
_cell_length_b 4.189
_cell_length_c 4.189
_cell_angle_alpha 90.00
_cell_angle_beta 90.00
_cell_angle_gamma 90.00
loop_
_space_group_symop_operation_xyz
'x,y,z'
loop_
_atom_site_label
_atom_site_fract_x
_atom_site_fract_y
_atom_site_fract_z
Co1 0.000 0.000 0.500
Co2 0.500 0.000 0.000
Co3 0.000 0.500 0.000
S1 0.000 0.000 0.000
Sn1 0.500 0.500 0.500
# SG ... Pm-3m (221)
# Offset from the most stable computed form ... 0.0000 eV per atom
# Final energy ... -5.73 eV per atom



No. 3
# PBE AlFeTe2, relaxed
data_AlFeTe2
_chemical_formula_sum 'Al1 Fe1 Te2'
_space_group_name_H-M_alt 'P 1'
_space_group_IT_number 1
_cell_length_a 5.851
_cell_length_b 5.062
_cell_length_c 4.131
_cell_angle_alpha 73.48
_cell_angle_beta 77.64
_cell_angle_gamma 119.38
loop_
_space_group_symop_operation_xyz
'x,y,z'
loop_
_atom_site_label
_atom_site_fract_x
_atom_site_fract_y
_atom_site_fract_z
Te1 0.000 0.000 0.000
Te2 0.500 0.000 0.500
Fe1 0.500 0.500 0.000
Al1 0.000 0.500 0.500
# SG ... C2/m (12)
# Final energy ... -4.27 eV per atom



No. 4
# PBE CoS2NCl, relaxed
data_CoS2NCl
_chemical_formula_sum 'Co1 S2 N1 Cl1'
_space_group_name_H-M_alt 'P 1'
_space_group_IT_number 1
_cell_length_a 4.822
_cell_length_b 4.822
_cell_length_c 3.359
_cell_angle_alpha 90.00
_cell_angle_beta 90.00
_cell_angle_gamma 90.00
loop_
_space_group_symop_operation_xyz
'x,y,z'
loop_
_atom_site_label
_atom_site_fract_x
_atom_site_fract_y
_atom_site_fract_z
S1 0.500 0.000 0.000
S2 0.000 0.500 0.000
N1 0.000 0.000 0.500
Cl1 0.000 0.000 0.000
Co1 0.500 0.500 0.500
# SG ... P4/mmm (123)
# Offset from the most stable computed form ... 1.0598 eV per atom
# Final energy ... -3.24 eV per atom



No. 5
# PBE V5Ge2Ir2, relaxed
data_V5Ge2Ir2
_chemical_formula_sum 'V10 Ge4 Ir4'
_space_group_name_H-M_alt 'P 1'
_space_group_IT_number 1
_cell_length_a 6.904
_cell_length_b 4.743
_cell_length_c 8.781
_cell_angle_alpha 105.67
_cell_angle_beta 113.15
_cell_angle_gamma 90.00
loop_
_space_group_symop_operation_xyz
'x,y,z'
loop_
_atom_site_label
_atom_site_fract_x
_atom_site_fract_y
_atom_site_fract_z
V1 0.411 0.215 0.661
V2 0.130 0.105 0.811
V3 0.750 0.715 0.661
V4 0.003 0.338 0.500
V5 0.181 0.605 0.810
V6 0.870 0.295 0.189
V7 0.997 0.838 0.500
V8 0.589 0.555 0.339
V9 0.819 0.795 0.190
V10 0.250 0.055 0.339
Ir1 0.191 0.479 0.146
Ir2 0.809 0.333 0.854
Ir3 0.545 0.834 0.854
Ir4 0.455 0.979 0.146
Ge1 0.327 0.626 0.500
Ge2 0.500 0.389 0.000
Ge3 0.000 0.888 0.000
Ge4 0.673 0.126 0.500
# DFT formation energy ... -0.16 eV/atom
# SG ... Ima2 (46)
# Final energy ... -8.23 eV per atom



No. 6
# PBE Ce6HOs3, relaxed
data_Ce6HOs3
_chemical_formula_sum 'Ce12 H2 Os6'
_space_group_name_H-M_alt 'P 1'
_space_group_IT_number 1
_cell_length_a 6.503
_cell_length_b 7.230
_cell_length_c 9.771
_cell_angle_alpha 90.00
_cell_angle_beta 91.92
_cell_angle_gamma 90.00
loop_
_space_group_symop_operation_xyz
'x,y,z'
loop_
_atom_site_label
_atom_site_fract_x
_atom_site_fract_y
_atom_site_fract_z
Ce1 0.345 0.817 0.430
Ce2 0.655 0.183 0.570
Ce3 0.337 0.843 0.062
Ce4 0.163 0.343 0.438
Ce5 0.662 0.444 0.261
Ce6 0.845 0.683 0.930
Ce7 0.155 0.317 0.070
Ce8 0.838 0.944 0.239
Ce9 0.162 0.056 0.761
Ce10 0.338 0.556 0.739
Ce11 0.663 0.157 0.938
Ce12 0.837 0.657 0.562
Os1 0.000 0.000 0.500
Os2 0.047 0.620 0.232
Os3 0.500 0.500 0.000
Os4 0.453 0.120 0.268
Os5 0.953 0.380 0.768
Os6 0.547 0.880 0.732
H1 0.000 0.000 0.000
H2 0.500 0.500 0.500
# SG ... P2_1/c (14)
# Offset from the most stable computed form ... 0.0000 eV per atom
# Final energy ... -7.44 eV per atom



no.,N(E_F) (states/eV per cell)
1,1.550
2,5.540
3,3.741
4,3.691
5,16.656
6,40.764